# SrMgBe2Sn

A crystal of SrMgBe2Sn relaxed with PBEsol (meta-GGA SCAN, Alexandria via LeMat-Bulk).

Computed properties:
Total energy: -63.011 eV per cell
Space group: P4/mmm
Formation enthalpy at 0 K: 1.77 eV/atom
DOS at the Fermi energy: 3.88 states/eV/cell

a = 5.161 Å, b = 5.161 Å, c = 5.781 Å
α = 90.00°, β = 90.00°, γ = 90.00°
Sites, in units of the cell vectors:
Be 0.000 0.500 0.000
Sn 0.500 0.500 0.500
Sr 0.000 0.000 0.000
Mg 0.000 0.000 0.500
Be 0.500 0.000 0.000


# SrMg2Be

A crystal of SrMg2Be relaxed with PBEsol (meta-GGA SCAN, Alexandria via LeMat-Bulk).

Computed properties:
Total energy: -35.290 eV per cell
Space group: P2/m
Formation enthalpy at 0 K: 0.32 eV/atom
DOS at the Fermi energy: 2.57 states/eV/cell

a = 3.724 Å, b = 4.580 Å, c = 6.145 Å
α = 90.00°, β = 104.75°, γ = 90.00°
Sites, in units of the cell vectors:
Be 0.000 0.500 0.500
Mg 0.150 0.000 0.306
Sr 0.500 0.500 0.000
Mg 0.850 0.000 0.694


# SrMgBe2

A crystal of SrMgBe2 relaxed with PBEsol (meta-GGA SCAN, Alexandria via LeMat-Bulk).

Computed properties:
Total energy: -34.938 eV per cell
Space group: R3m
Formation enthalpy at 0 K: 0.25 eV/atom
DOS at the Fermi energy: 1.68 states/eV/cell

a = 4.099 Å, b = 4.099 Å, c = 6.313 Å
α = 71.06°, β = 71.06°, γ = 60.00°
Sites, in units of the cell vectors:
Mg 0.545 0.545 0.364
Be 0.937 0.937 0.188
Sr 0.730 0.730 0.811
Be 0.269 0.269 0.192


# SrMg2BeW

A crystal of SrMg2BeW relaxed with PBEsol (meta-GGA SCAN, Alexandria via LeMat-Bulk).

Computed properties:
Total energy: -97.883 eV per cell
Space group: P4/mmm
Formation enthalpy at 0 K: 1.68 eV/atom
DOS at the Fermi energy: 5.23 states/eV/cell

a = 5.217 Å, b = 5.217 Å, c = 5.370 Å
α = 90.00°, β = 90.00°, γ = 90.00°
Site moments in Bohr magnetons follow the coordinates.
Sites, in units of the cell vectors:
Sr 0.000 0.000 0.500  0.03
Mg 0.500 0.000 0.000  0.01
Be 0.500 0.500 0.500  -0.01
Mg 0.000 0.500 0.000  0.01
W 0.000 0.000 0.000  0.84


# Mg2TaBe

A crystal of Mg2TaBe relaxed with PBEsol (meta-GGA SCAN, Alexandria via LeMat-Bulk).

Computed properties:
Total energy: -79.501 eV per cell
Space group: R3m
Formation enthalpy at 0 K: 0.35 eV/atom
DOS at the Fermi energy: 2.55 states/eV/cell

a = 2.917 Å, b = 2.917 Å, c = 9.552 Å
α = 81.22°, β = 81.22°, γ = 60.00°
Sites, in units of the cell vectors:
Be 0.248 0.248 0.257
Mg 0.753 0.753 0.741
Ta 0.509 0.509 0.472
Mg 0.990 0.990 0.030


# Mg2TaBe

A crystal of Mg2TaBe relaxed with PBEsol (meta-GGA SCAN, Alexandria via LeMat-Bulk).

Computed properties:
Total energy: -79.066 eV per cell
Space group: P2/m
Formation enthalpy at 0 K: 0.45 eV/atom
DOS at the Fermi energy: 2.11 states/eV/cell

a = 2.863 Å, b = 4.455 Å, c = 5.308 Å
α = 90.00°, β = 102.18°, γ = 90.00°
Sites, in units of the cell vectors:
Ta 0.500 0.500 0.000
Mg 0.842 0.000 0.739
Be 0.000 0.500 0.500
Mg 0.158 0.000 0.261


# Mg2TaBe

A crystal of Mg2TaBe relaxed with PBEsol (meta-GGA SCAN, Alexandria via LeMat-Bulk).

Computed properties:
Total energy: -79.293 eV per cell
Space group: C2/m
Formation enthalpy at 0 K: 0.40 eV/atom
DOS at the Fermi energy: 1.73 states/eV/cell

a = 2.680 Å, b = 5.188 Å, c = 5.547 Å
α = 115.85°, β = 100.39°, γ = 97.52°
Sites, in units of the cell vectors:
Ta 0.500 0.000 0.000
Mg 0.500 0.500 0.500
Be 0.000 0.500 0.000
Mg 0.000 0.000 0.500


# Mg2TaBe

A crystal of Mg2TaBe relaxed with PBEsol (meta-GGA SCAN, Alexandria via LeMat-Bulk).

Computed properties:
Total energy: -79.087 eV per cell
Space group: Cmmm
Formation enthalpy at 0 K: 0.45 eV/atom
DOS at the Fermi energy: 1.71 states/eV/cell

a = 2.699 Å, b = 5.338 Å, c = 5.338 Å
α = 118.60°, β = 90.00°, γ = 90.00°
Sites, in units of the cell vectors:
Be 0.500 0.500 0.500
Ta 0.500 0.000 0.000
Mg 0.000 0.500 0.000
Mg 0.000 0.000 0.500


Question: Number 5 is which compound?
Answer: Mg2TaBe


Question: Look up the DOS at the Fermi energy of the second one.
Answer: 2.57 states/eV/cell